Material: Pm8Ir5Ru
Method: DFT, GGA-PBE
State: optimized geometry

Unit cell a=7.624 b=7.624 c=7.624 alpha=109.56 beta=109.30 gamma=109.56
Fractional coordinates of all 14 atoms:
Pm 0.133 0.752 0.003
Pm 0.997 0.129 0.749
Pm 0.747 0.246 0.367
Pm 0.633 0.380 0.878
Pm 0.499 0.620 0.253
Pm 0.619 0.871 0.867
Pm 0.251 0.248 0.381
Pm 0.122 0.754 0.501
Ir 0.005 0.378 0.132
Ir 0.868 0.873 0.246
Ir 0.754 0.622 0.627
Ir 0.500 0.000 0.500
Ir 0.373 0.127 0.995
Ru 0.250 0.500 0.750

Computed properties:
E_form	-0.5305	eV per atom
space group	No. 82


Material: AcHo2Pd
Method: DFT, GGA-PBE
State: optimized geometry

Unit cell a=3.780 b=3.780 c=11.049 alpha=80.15 beta=80.15 gamma=60.00
Fractional coordinates of all 4 atoms:
Ac 0.000 0.000 0.000
Ho 0.112 0.112 0.663
Ho 0.888 0.888 0.337
Pd 0.500 0.500 0.500

Computed properties:
distance to the lowest polymorph of the same formula	27.90	kJ per mole of atoms
E_form	-0.1455	eV per atom
space group	No. 166


Material: Cd2Ag4Au
Method: DFT, GGA-PBE
State: optimized geometry

Unit cell a=5.171 b=5.171 c=7.827 alpha=70.71 beta=70.71 gamma=90.00
Fractional coordinates of all 7 atoms:
Au 0.000 0.000 0.000
Ag 0.195 0.195 0.609
Ag 0.805 0.805 0.391
Ag 0.000 0.500 0.000
Ag 0.500 0.000 0.000
Cd 0.390 0.390 0.220
Cd 0.610 0.610 0.780

Computed properties:
distance to the lowest polymorph of the same formula	39.14	kJ per mole of atoms
E_form	0.3990	eV per atom
space group	No. 139


Material: Mg6In5Ga
Method: DFT, GGA-PBE
State: optimized geometry

Unit cell a=4.622 b=8.642 c=7.222 alpha=90.00 beta=71.34 gamma=90.00
Fractional coordinates of all 12 atoms:
Mg 0.836 0.755 0.328
Mg 0.836 0.245 0.328
Mg 0.500 0.243 0.000
Mg 0.500 0.757 0.000
Mg 0.164 0.755 0.672
Mg 0.164 0.245 0.672
Ga 0.000 0.000 0.000
In 0.667 0.500 0.665
In 0.336 0.000 0.327
In 0.000 0.500 0.000
In 0.664 0.000 0.673
In 0.333 0.500 0.335

Computed properties:
distance to the lowest polymorph of the same formula	0.00	kJ per mole of atoms
E_form	-0.0913	eV per atom
space group	No. 65


Material: SrErGa6
Method: DFT, GGA-PBE
State: optimized geometry

Unit cell a=4.394 b=5.980 c=6.504 alpha=90.00 beta=90.00 gamma=90.00
Fractional coordinates of all 8 atoms:
Sr 0.000 0.627 0.000
Er 0.500 0.387 0.500
Ga 0.500 0.868 0.284
Ga 0.000 0.153 0.737
Ga 0.000 0.153 0.263
Ga 0.500 0.868 0.716
Ga 0.000 0.738 0.500
Ga 0.500 0.206 0.000

Computed properties:
E_form	-0.3916	eV per atom
space group	No. 25


Material: In2RuSe
Method: DFT, GGA-PBE
State: optimized geometry

Unit cell a=5.224 b=5.224 c=5.224 alpha=131.84 beta=131.84 gamma=70.48
Fractional coordinates of all 4 atoms:
In 0.000 0.000 0.000
In 0.500 0.500 0.000
Ru 0.250 0.750 0.500
Se 0.750 0.250 0.500

Computed properties:
ΔE_f (raw)	0.3106	eV per atom
space group	No. 139


Calculated total energy (eV per cell)
-99.01; -19.04; -13.72; -27.38; -27.54; -16.99
Mass density (Mg/m³)
10.82; 8.22; 7.66; 4.80; 6.54; 8.77